Material: ErNiAg2F6
Method: DFT, PBE with a Hubbard U
State: relaxed

Results
Calculated total energy, eV/atom: -4.663
Space group: No. 2
Calculated density, g/cm³: 5.79
Volume, A^3/atom: 15.9
Magnetic moment, μB per cell: 1.3

Cell and atoms, written as POSCAR:
```
ErNiAg2F6
1.0
5.676 -0.464 -0.262
2.372 6.404 0.457
2.427 2.648 4.390
F Ag Ni Er
6 2 1 1
direct
0.166 0.002 0.214 F
0.859 0.593 0.393 F
0.466 0.630 0.889 F
0.773 0.039 0.709 F
0.617 0.120 0.200 F
0.015 0.512 0.903 F
0.522 0.447 0.423 Ag
0.110 0.185 0.680 Ag
0.316 0.316 0.052 Ni
0.816 0.816 0.551 Er
```